(1)
Below is a relaxed Sm8Te4HIr3 crystal, with properties calculated at the PBE-GGA level.

a = 8.337 Å, b = 8.835 Å, c = 8.338 Å
α = 118.15°, β = 120.00°, γ = 90.00°
Sites, in units of the cell vectors:
Sm1 0.241 0.710 0.968
Sm2 0.241 0.710 0.482
Sm3 0.264 0.291 0.528
Sm4 0.727 0.710 0.968
Sm5 0.273 0.290 0.032
Sm6 0.736 0.709 0.472
Sm7 0.759 0.290 0.518
Sm8 0.759 0.290 0.032
Te1 0.500 0.000 0.000
Te2 0.500 0.000 0.500
Te3 0.000 0.000 0.000
Te4 0.000 0.000 0.500
H1 0.000 0.500 0.000
Ir1 0.500 0.500 0.000
Ir2 0.500 0.500 0.500
Ir3 0.000 0.500 0.500

Values from the calculation:
* total energy: -95.90 eV per cell

***

(2)
Below is a relaxed Sm3TeHIr crystal, with properties calculated at the PBE-GGA level.

a = 4.167 Å, b = 8.560 Å, c = 8.736 Å
α = 107.03°, β = 90.00°, γ = 90.00°
Sites, in units of the cell vectors:
Sm1 0.750 0.814 0.112
Sm2 0.250 0.186 0.888
Sm3 0.250 0.812 0.454
Sm4 0.750 0.188 0.546
Sm5 0.750 0.436 0.233
Sm6 0.250 0.564 0.767
Te1 0.250 0.128 0.242
Te2 0.750 0.872 0.758
H1 0.250 0.094 0.600
H2 0.750 0.906 0.400
Ir1 0.250 0.596 0.124
Ir2 0.750 0.404 0.876

Values from the calculation:
* total energy: -69.58 eV per cell

***

(3)
Below is a relaxed SnH2Ir crystal, with properties calculated at the PBE-GGA level.

a = 5.401 Å, b = 6.270 Å, c = 2.908 Å
α = 90.00°, β = 90.00°, γ = 90.00°
Sites, in units of the cell vectors:
Sn1 0.000 0.000 0.500
Sn2 0.500 0.500 0.500
H1 0.000 0.665 0.000
H2 0.000 0.335 0.000
H3 0.500 0.165 0.000
H4 0.500 0.835 0.000
Ir1 0.500 0.000 0.500
Ir2 0.000 0.500 0.500

Values from the calculation:
* total energy: -38.43 eV per cell
* offset from the most stable computed form: 189 meV/atom

***

(4)
Below is a relaxed SnH2Ir crystal, with properties calculated at the PBE-GGA level.

a = 4.571 Å, b = 4.571 Å, c = 5.774 Å
α = 66.68°, β = 66.68°, γ = 90.00°
Sites, in units of the cell vectors:
H1 0.776 0.125 0.250
H2 0.974 0.625 0.250
H3 0.375 0.224 0.750
H4 0.875 0.026 0.750
Ir1 0.000 0.000 0.000
Ir2 0.750 0.250 0.500
Sn1 0.500 0.500 0.000
Sn2 0.250 0.750 0.500

Values from the calculation:
* total energy: -36.74 eV per cell
* offset from the most stable computed form: 400 meV/atom

***

(5)
Below is a relaxed SnH2Ir crystal, with properties calculated at the PBE-GGA level.

a = 3.979 Å, b = 3.979 Å, c = 3.979 Å
α = 60.00°, β = 60.00°, γ = 60.00°
Sites, in units of the cell vectors:
H1 0.250 0.250 0.250
H2 0.750 0.750 0.750
Ir1 0.500 0.500 0.500
Sn1 0.000 0.000 0.000

Values from the calculation:
* total energy: -16.02 eV per cell
* offset from the most stable computed form: 988 meV/atom

***

(6)
Below is a relaxed Sn5HIr3 crystal, with properties calculated at the PBE-GGA level.

a = 7.650 Å, b = 7.650 Å, c = 9.066 Å
α = 61.33°, β = 61.33°, γ = 73.61°
Sites, in units of the cell vectors:
Sn1 0.931 0.398 0.385
Sn2 0.297 0.703 0.000
Sn3 0.840 0.840 0.895
Sn4 0.464 0.464 0.349
Sn5 0.536 0.536 0.651
Sn6 0.160 0.160 0.105
Sn7 0.398 0.931 0.385
Sn8 0.703 0.297 0.000
Sn9 0.069 0.602 0.615
Sn10 0.602 0.069 0.615
H1 0.136 0.136 0.763
H2 0.864 0.864 0.237
Ir1 0.687 0.687 0.767
Ir2 0.709 0.709 0.259
Ir3 0.000 0.000 0.000
Ir4 0.000 0.000 0.500
Ir5 0.313 0.313 0.233
Ir6 0.291 0.291 0.741

Values from the calculation:
* total energy: -100.10 eV per cell

***

(7)
Below is a relaxed SnH2Ir crystal, with properties calculated at the PBE-GGA level.

a = 6.355 Å, b = 3.152 Å, c = 5.258 Å
α = 90.00°, β = 105.20°, γ = 90.00°
Sites, in units of the cell vectors:
Sn1 0.570 0.000 0.784
Sn2 0.570 0.500 0.284
H1 0.938 0.000 0.915
H2 0.938 0.500 0.415
H3 0.121 0.000 0.319
H4 0.121 0.500 0.819
Ir1 0.206 0.000 0.002
Ir2 0.206 0.500 0.502

Values from the calculation:
* total energy: -37.82 eV per cell
* offset from the most stable computed form: 265 meV/atom

***

(8)
Below is a relaxed SnHIr3 crystal, with properties calculated at the PBE-GGA level.

a = 4.035 Å, b = 4.035 Å, c = 4.035 Å
α = 90.00°, β = 90.00°, γ = 90.00°
Sites, in units of the cell vectors:
H1 0.000 0.000 0.000
Ir1 0.000 0.500 0.000
Ir2 0.000 0.000 0.500
Ir3 0.500 0.000 0.000
Sn1 0.500 0.500 0.500

Values from the calculation:
* total energy: -33.72 eV per cell
* offset from the most stable computed form: 0 meV/atom

***

(9)
Below is a relaxed SnH2Ir crystal, with properties calculated at the PBE-GGA level.

a = 4.912 Å, b = 3.102 Å, c = 8.605 Å
α = 90.00°, β = 124.79°, γ = 90.00°
Sites, in units of the cell vectors:
Sn1 0.869 0.000 0.467
Sn2 0.869 0.500 0.967
H1 0.312 0.000 0.410
H2 0.312 0.500 0.910
H3 0.435 0.000 0.033
H4 0.435 0.500 0.533
Ir1 0.541 0.000 0.639
Ir2 0.541 0.500 0.139

Values from the calculation:
* total energy: -38.92 eV per cell
* offset from the most stable computed form: 128 meV/atom

***

(10)
Below is a relaxed SnH2Ir crystal, with properties calculated at the PBE-GGA level.

a = 3.407 Å, b = 4.795 Å, c = 4.892 Å
α = 89.78°, β = 69.61°, γ = 44.81°
Sites, in units of the cell vectors:
H1 0.137 0.190 0.040
H2 0.885 0.816 0.293
Ir1 0.508 0.754 0.170
Sn1 0.506 0.505 0.671

Values from the calculation:
* total energy: -19.97 eV per cell
* offset from the most stable computed form: 0 meV/atom

***

(11)
Below is a relaxed SnH3Ir crystal, with properties calculated at the PBE-GGA level.

a = 3.846 Å, b = 3.846 Å, c = 3.846 Å
α = 90.00°, β = 90.00°, γ = 90.00°
Sites, in units of the cell vectors:
H1 0.000 0.500 0.000
H2 0.000 0.000 0.500
H3 0.500 0.000 0.000
Ir1 0.500 0.500 0.500
Sn1 0.000 0.000 0.000

Values from the calculation:
* total energy: -16.29 eV per cell
* offset from the most stable computed form: 1337 meV/atom

***

(12)
Below is a relaxed SnH2Ir crystal, with properties calculated at the PBE-GGA level.

a = 4.218 Å, b = 3.088 Å, c = 9.371 Å
α = 90.00°, β = 116.61°, γ = 90.00°
Sites, in units of the cell vectors:
Sn1 0.009 0.000 0.350
Sn2 0.009 0.500 0.850
H1 0.789 0.000 0.127
H2 0.789 0.500 0.627
H3 0.384 0.000 0.725
H4 0.384 0.500 0.225
Ir1 0.576 0.000 0.917
Ir2 0.576 0.500 0.417

Values from the calculation:
* total energy: -38.78 eV per cell
* offset from the most stable computed form: 146 meV/atom

***

Calculated calculated density in order - 8.53 8.60 10.55 10.40 11.67 9.54 10.23 17.61 9.65 10.59 9.16 9.52 g/cm3